1) Computed, not measured: a relaxed SrTiSb2I crystal at the PBE level of DFT.

It has space group P4/mmm (No. 123), with a = 5.277 Å, b = 5.277 Å, c = 5.879 Å, α = 90.00°, β = 90.00° and γ = 90.00°. The asymmetric unit holds Sr at (0.000, 0.000, 0.000), Ti at (0.500, 0.500, 0.500), Sb at (0.000, 0.500, 0.500) and I at (0.500, 0.500, 0.000).


2) Computed, not measured: a relaxed SrTiSb2I crystal at the PBE level of DFT.

It has space group P4/mmm (No. 123), with a = 6.012 Å, b = 6.012 Å, c = 5.997 Å, α = 90.00°, β = 90.00° and γ = 90.00°. The asymmetric unit holds Sr at (0.000, 0.000, 0.000), Ti at (0.500, 0.500, 0.500), Sb at (0.000, 0.500, 0.000) and I at (0.000, 0.000, 0.500).


Question: which arrangement is favored energetically? Ranking from most to least stable: 1), 2).


1) Computed, not measured: a relaxed SrYSb2I crystal at the PBE level of DFT.

It has space group P4/mmm (No. 123), with a = 5.939 Å, b = 5.939 Å, c = 5.918 Å, α = 90.00°, β = 90.00° and γ = 90.00°. The asymmetric unit holds Sr at (0.000, 0.000, 0.000), Y at (0.500, 0.500, 0.500), Sb at (0.000, 0.500, 0.000) and I at (0.000, 0.000, 0.500).


2) Computed, not measured: a relaxed SrYSb2I crystal at the PBE level of DFT.

It has space group P4/mmm (No. 123), with a = 5.785 Å, b = 5.785 Å, c = 6.051 Å, α = 90.00°, β = 90.00° and γ = 90.00°. The asymmetric unit holds Sr at (0.000, 0.000, 0.000), Y at (0.500, 0.500, 0.500), Sb at (0.000, 0.500, 0.500) and I at (0.500, 0.500, 0.000).


Question: which arrangement is favored energetically? Ranking from most to least stable: 2), 1).


1) Computed, not measured: a relaxed SrZrSbI2 crystal at the PBE level of DFT.

It has space group P4/mmm (No. 123), with a = 6.014 Å, b = 6.014 Å, c = 6.501 Å, α = 90.00°, β = 90.00° and γ = 90.00°. The asymmetric unit holds Sr at (0.000, 0.000, 0.000), Zr at (0.500, 0.500, 0.500), Sb at (0.000, 0.000, 0.500) and I at (0.000, 0.500, 0.000).


2) Computed, not measured: a relaxed SrZrSbI2 crystal at the PBE level of DFT.

It has space group P4/mmm (No. 123), with a = 5.702 Å, b = 5.702 Å, c = 5.763 Å, α = 90.00°, β = 90.00° and γ = 90.00°. The asymmetric unit holds Sr at (0.000, 0.000, 0.000), Zr at (0.500, 0.500, 0.500), Sb at (0.500, 0.500, 0.000) and I at (0.000, 0.500, 0.500).


Question: which arrangement is favored energetically? Ranking from most to least stable: 2), 1).


1) Computed, not measured: a relaxed TaSbI3 crystal at the PBE level of DFT.

It has space group Pm-3m (No. 221), with a = 5.589 Å, b = 5.589 Å, c = 5.589 Å, α = 90.00°, β = 90.00° and γ = 90.00°. The asymmetric unit holds Ta at (0.000, 0.000, 0.000), Sb at (0.500, 0.500, 0.500) and I at (0.000, 0.000, 0.500).


2) Computed, not measured: a relaxed TaSbI3 crystal at the PBE level of DFT.

It has space group Pm-3m (No. 221), with a = 6.009 Å, b = 6.009 Å, c = 6.009 Å, α = 90.00°, β = 90.00° and γ = 90.00°. The asymmetric unit holds Ta at (0.000, 0.000, 0.000), Sb at (0.500, 0.500, 0.500) and I at (0.000, 0.500, 0.500).


Question: which arrangement is favored energetically? Ranking from most to least stable: 1), 2).


1) Computed, not measured: a relaxed TaSb3I crystal at the PBE level of DFT.

It has space group Pm-3m (No. 221), with a = 5.385 Å, b = 5.385 Å, c = 5.385 Å, α = 90.00°, β = 90.00° and γ = 90.00°. The asymmetric unit holds Ta at (0.000, 0.000, 0.000), Sb at (0.000, 0.000, 0.500) and I at (0.500, 0.500, 0.500).


2) Computed, not measured: a relaxed TaSb3I crystal at the PBE level of DFT.

It has space group Pm-3m (No. 221), with a = 5.592 Å, b = 5.592 Å, c = 5.592 Å, α = 90.00°, β = 90.00° and γ = 90.00°. The asymmetric unit holds Ta at (0.000, 0.000, 0.000), Sb at (0.000, 0.500, 0.500) and I at (0.500, 0.500, 0.500).


Question: which arrangement is favored energetically? Ranking from most to least stable: 1), 2).


1) Computed, not measured: a relaxed TaZnSb2I crystal at the PBE level of DFT.

It has space group P4/mmm (No. 123), with a = 5.353 Å, b = 5.353 Å, c = 5.760 Å, α = 90.00°, β = 90.00° and γ = 90.00°. The asymmetric unit holds Ta at (0.000, 0.000, 0.000), Zn at (0.500, 0.500, 0.500), Sb at (0.000, 0.500, 0.000) and I at (0.000, 0.000, 0.500).


2) Computed, not measured: a relaxed TaZnSb2I crystal at the PBE level of DFT.

It has space group P4/mmm (No. 123), with a = 5.069 Å, b = 5.069 Å, c = 5.488 Å, α = 90.00°, β = 90.00° and γ = 90.00°. The asymmetric unit holds Ta at (0.000, 0.000, 0.000), Zn at (0.500, 0.500, 0.500), Sb at (0.000, 0.500, 0.500) and I at (0.500, 0.500, 0.000).


Question: which arrangement is favored energetically? Ranking from most to least stable: 1), 2).


1) Computed, not measured: a relaxed TaZnSbI2 crystal at the PBE level of DFT.

It has space group P4/mmm (No. 123), with a = 5.582 Å, b = 5.582 Å, c = 5.447 Å, α = 90.00°, β = 90.00° and γ = 90.00°. The asymmetric unit holds Ta at (0.000, 0.000, 0.000), Zn at (0.500, 0.500, 0.500), Sb at (0.000, 0.000, 0.500) and I at (0.000, 0.500, 0.000).


2) Computed, not measured: a relaxed TaZnSbI2 crystal at the PBE level of DFT.

It has space group P4/mmm (No. 123), with a = 5.325 Å, b = 5.325 Å, c = 5.302 Å, α = 90.00°, β = 90.00° and γ = 90.00°. The asymmetric unit holds Ta at (0.000, 0.000, 0.000), Zn at (0.500, 0.500, 0.500), Sb at (0.500, 0.500, 0.000) and I at (0.000, 0.500, 0.500).


Question: which arrangement is favored energetically? Ranking from most to least stable: 1), 2).


1) Computed, not measured: a relaxed TcSb3I crystal at the PBE level of DFT.

It has space group Pm-3m (No. 221), with a = 5.696 Å, b = 5.696 Å, c = 5.696 Å, α = 90.00°, β = 90.00° and γ = 90.00°. The asymmetric unit holds Tc at (0.000, 0.000, 0.000), Sb at (0.000, 0.500, 0.500) and I at (0.500, 0.500, 0.500).


2) Computed, not measured: a relaxed TcSb3I crystal at the PBE level of DFT.

It has space group Pm-3m (No. 221), with a = 5.233 Å, b = 5.233 Å, c = 5.233 Å, α = 90.00°, β = 90.00° and γ = 90.00°. The asymmetric unit holds Tc at (0.000, 0.000, 0.000), Sb at (0.000, 0.000, 0.500) and I at (0.500, 0.500, 0.500).


Question: which arrangement is favored energetically? Ranking from most to least stable: 2), 1).